# GePPdC2 meta-GGA SCAN single point on PBEsol structure
# Uncorrected energy ... -75.20 eV per cell
# Formation energy ... 1452 meV/atom
# Spin magnetization ... 0.00 μB per formula unit
data_GePPdC2
_chemical_formula_sum 'Ge1 P1 Pd1 C2'
_cell_length_a 3.454
_cell_length_b 3.454
_cell_length_c 5.910
_cell_angle_alpha 90.00
_cell_angle_beta 90.00
_cell_angle_gamma 90.00
_symmetry_space_group_name_H-M 'P 4/m m m'
_symmetry_Int_Tables_number 123
_symmetry_space_group_name_Hall '-P 4 2'
loop_
_atom_site_label
_atom_site_type_symbol
_atom_site_fract_x
_atom_site_fract_y
_atom_site_fract_z
Ge1 Ge 0.000 0.000 0.000
P1 P 0.000 0.000 0.500
Pd1 Pd 0.500 0.500 0.000
C1 C 0.000 0.500 0.500